A plane-wave DFT calculation with PBE-GGA was carried out for Hf2OsBr after structural relaxation.

Output
- Magnetic moment: 0.000 μB per formula unit
- Symmetry: No. 225
- Distance to the lowest polymorph of the same formula: 0.000 eV/atom
- Formation energy without anion corrections: 0.4 eV per formula unit
- Total DFT energy (no corrections): -8.110 eV/atom

extended XYZ file:
```
4
Lattice="0.000 3.362 3.362 3.362 0.000 3.362 3.362 3.362 0.000" Properties=species:S:1:pos:R:3 pbc="T T T"
Hf 1.681 1.681 1.681
Hf 5.042 5.042 5.042
Os 3.362 3.362 3.362
Br 0.000 0.000 0.000
```